The following is a GGA-PBE calculation of crystalline Nd2Dy3Cd3 at its relaxed geometry, from the Alexandria database.

Output
DOS at the Fermi energy = 10.33 states/eV per cell
calculated total energy = -3.438 eV/atom
calculated formation energy = -137 kJ/mol of formula units
SG = Pmmm

```
8
Lattice="-4.662 -0.709 1.497 -0.729 -3.133 -3.756 2.787 -7.051 5.339" Properties=species:S:1:pos:R:3 pbc="T T T"
Nd 2.071 -5.239 3.967
Nd 0.716 -1.812 1.372
Dy -0.664 -7.060 2.762
Dy -1.940 -3.833 0.318
Dy -2.331 -0.355 0.748
Cd -0.937 -3.880 3.418
Cd -0.365 -1.566 -1.878
Cd 1.029 -5.092 0.792
```